Material: AlFeNF2
Method: DFT, GGA+U
State: relaxed

Results
Excess energy over the best structure of this formula in the dataset = 68.9 kJ/mol of atoms
Magnetization = 4.90 Bohr magnetons per cell
Crystal system = tetragonal

abc: 3.9075 3.9075 4.1765
angles: 90.00 90.00 90.00
Positions (direct):
Al1 0.0000 0.0000 0.0000
Fe1 0.5000 0.5000 0.5000
N1 0.5000 0.5000 0.0000
F1 0.0000 0.5000 0.5000
F2 0.5000 0.0000 0.5000